[1]
First-principles (PBE) data for a geometry-optimized TmTeMo structure, as listed in the Open Quantum Materials Database.

## Properties
The energy relative to the lowest polymorph listed for this composition comes out at 162.3 kJ/mol of formula units.

Unit cell a=4.884 b=4.884 c=4.884 alpha=60.00 beta=60.00 gamma=60.00
Sites, in units of the cell vectors:
Te 0.750 0.750 0.750
Tm 0.000 0.000 0.000
Mo 0.250 0.250 0.250

=====

[2]
First-principles (PBE) data for a geometry-optimized TmTeMo structure, as listed in the Open Quantum Materials Database.

## Properties
The energy relative to the lowest polymorph listed for this composition comes out at 0.0 kJ/mol of formula units.

Unit cell a=4.664 b=4.664 c=4.664 alpha=60.00 beta=60.00 gamma=60.00
Sites, in units of the cell vectors:
Tm 0.750 0.750 0.750
Mo 0.000 0.000 0.000
Te 0.250 0.250 0.250

=====

[3]
First-principles (PBE) data for a geometry-optimized TeMoW2 structure, as listed in the Open Quantum Materials Database.

## Properties
As for the final energy: -9.30 eV/atom.

Unit cell a=4.602 b=4.602 c=4.602 alpha=60.00 beta=60.00 gamma=60.00
Sites, in units of the cell vectors:
W 0.250 0.250 0.250
Te 0.000 0.000 0.000
Mo 0.750 0.750 0.750
W 0.500 0.500 0.500